FeSbPb2: relaxed, PBE-GGA.

a = 4.3590 Å, b = 4.6921 Å, c = 5.0736 Å
α = 90.00°, β = 90.00°, γ = 90.00°
With the nearest neighbours (Å) after each atom.
Positions (direct):
Fe (0.0000, 0.0000, 0.0000)  4 Sb 3.20, 8 Pb 3.34-3.46
Sb (0.5000, 0.5000, 0.0000)  4 Fe 3.20, 8 Pb 3.34-3.46
Pb (0.0000, 0.5000, 0.5000)  4 Pb 3.20, 4 Sb 3.34, 4 Fe 3.46
Pb (0.5000, 0.0000, 0.5000)  4 Pb 3.20, 4 Fe 3.34, 4 Sb 3.46

Results
Uncorrected formation energy   0.547 eV per atom
Symmetry   Pmmm, No. 47